# 1
Computed, not measured: a geometry-optimized LiBeCl3 structure at the GGA-PBE level of DFT.

Polymorph energy (0 for the lowest one) in meV/atom: 439
Energy relative to the elements, uncorrected in eV per atom: -1.113

Unit cell a=4.559 b=4.559 c=4.559 alpha=90.00 beta=90.00 gamma=90.00
Element x y z (fractional)
Be (0.000, 0.000, 0.000)
Li (0.500, 0.500, 0.500)
Cl (0.000, 0.500, 0.000)
Cl (0.000, 0.000, 0.500)
Cl (0.500, 0.000, 0.000)

# 2
Computed, not measured: a geometry-optimized NaAc2SiO5 structure at the GGA-PBE level of DFT.

Energy relative to the elements, uncorrected in eV per atom: -2.521

Unit cell a=5.525 b=7.276 c=7.276 alpha=90.00 beta=90.00 gamma=90.00
Element x y z (fractional)
Na (0.000, 0.500, 0.500)
Na (0.000, 0.000, 0.000)
Ac (0.500, 0.685, 0.185)
Ac (0.500, 0.185, 0.315)
Ac (0.500, 0.815, 0.685)
Ac (0.500, 0.315, 0.815)
Si (0.000, 0.000, 0.500)
Si (0.000, 0.500, 0.000)
O (0.500, 0.500, 0.500)
O (0.500, 0.000, 0.000)
O (0.224, 0.118, 0.618)
O (0.224, 0.882, 0.382)
O (0.224, 0.382, 0.118)
O (0.224, 0.618, 0.882)
O (0.776, 0.118, 0.618)
O (0.776, 0.618, 0.882)
O (0.776, 0.882, 0.382)
O (0.776, 0.382, 0.118)

# 3
Computed, not measured: a geometry-optimized Ho5Mg4Cd structure at the GGA-PBE level of DFT.

Energy relative to the elements in meV per atom: -121

Unit cell a=3.777 b=3.777 c=18.705 alpha=90.00 beta=90.00 gamma=90.00
Element x y z (fractional)
Ho (0.500, 0.500, 0.098)
Ho (0.500, 0.500, 0.299)
Ho (0.500, 0.500, 0.500)
Ho (0.500, 0.500, 0.701)
Ho (0.500, 0.500, 0.902)
Mg (0.000, 0.000, 0.200)
Mg (0.000, 0.000, 0.399)
Mg (0.000, 0.000, 0.601)
Mg (0.000, 0.000, 0.800)
Cd (0.000, 0.000, 0.000)

# 4
Computed, not measured: a geometry-optimized Li2Mg8Cd3 structure at the GGA-PBE level of DFT.

Polymorph energy (0 for the lowest one) in meV/atom: 0
Energy relative to the elements in meV per atom: -55

Unit cell a=5.357 b=6.198 c=10.971 alpha=102.49 beta=108.48 gamma=55.65
Element x y z (fractional)
Li (0.385, 0.403, 0.873)
Li (0.615, 0.597, 0.127)
Mg (0.430, 0.207, 0.107)
Mg (0.570, 0.793, 0.893)
Mg (0.303, 0.755, 0.580)
Mg (0.901, 0.266, 0.746)
Mg (0.295, 0.260, 0.584)
Mg (0.099, 0.734, 0.254)
Mg (0.697, 0.245, 0.420)
Mg (0.705, 0.740, 0.416)
Cd (0.000, 0.000, 0.000)
Cd (0.125, 0.217, 0.289)
Cd (0.875, 0.783, 0.711)